(1)
Entry from Alexandria via LeMat-Bulk: ZnReAg2 after structural relaxation (PBE-GGA).

Computed properties:
* crystal system: orthorhombic
* total DFT energy (no corrections): -4.333 eV per atom
* ΔE_f: 0.523 eV per atom

Cell: 2.7184 4.9401 9.7052 Å, 90.00 90.00 90.00°
With the nearest neighbours (Å) after each atom.
Space group Imm2 (No. 44)
Symmetry-distinct sites (fractional):
Zn (0.0000, 0.0000, 0.0000) [2 per cell]  2 Re 2.65, 6 Ag 2.71-2.82, 2 Zn 2.72
Re (0.0000, 0.5000, 0.2655) [2 per cell]  2 Zn 2.65, 2 Re 2.72, 6 Ag 2.83-2.88
Ag (0.0000, 0.0000, 0.5039) [2 per cell]  4 Ag 2.72-2.89, 4 Zn 2.82, 2 Re 2.88
Ag (0.0000, 0.5000, 0.7410) [2 per cell]  2 Zn 2.71, 4 Ag 2.72-2.89, 4 Re 2.83



(2)
Entry from Alexandria via LeMat-Bulk: ZnReAg2 after structural relaxation (PBE-GGA).

Computed properties:
* crystal system: trigonal
* total DFT energy (no corrections): -4.515 eV per atom
* ΔE_f: 0.342 eV per atom

Cell: 2.7987 2.7987 28.3750 Å, 90.00 90.00 120.00°
With the nearest neighbours (Å) after each atom.
Space group R-3m (No. 166, hexagonal axes)
Symmetry-distinct sites (fractional):
Zn (0.0000, 0.0000, 0.0000) [3 per cell]  6 Zn 2.80, 6 Ag 2.82
Re (0.0000, 0.0000, 0.5000) [3 per cell]  6 Re 2.80, 6 Ag 2.91
Ag (0.0000, 0.0000, 0.2520) [6 per cell]  6 Ag 2.80, 3 Zn 2.82, 3 Re 2.91



(3)
Entry from Alexandria via LeMat-Bulk: Zn2ReAg after structural relaxation (PBE-GGA).

Computed properties:
* crystal system: orthorhombic
* total DFT energy (no corrections): -4.106 eV per atom
* offset from the most stable computed form: 22.4 kJ per mole of atoms
* ΔE_f: 0.355 eV per atom

Cell: 2.6974 4.2152 5.4213 Å, 90.00 90.00 90.00°
With the nearest neighbours (Å) after each atom.
Space group Pmm2 (No. 25)
Symmetry-distinct sites (fractional):
Zn (0.0000, 0.0000, 0.0000) [1 per cell]  2 Ag 2.65-2.77, 6 Zn 2.70-2.95, 4 Re 2.73
Zn (0.5000, 0.5000, 0.2888) [1 per cell]  2 Re 2.65-2.77, 6 Zn 2.70-2.95, 4 Ag 2.78
Re (0.5000, 0.5000, 0.8001) [1 per cell]  6 Zn 2.65-2.77, 2 Re 2.70, 4 Ag 2.95
Ag (0.0000, 0.0000, 0.5105) [1 per cell]  6 Zn 2.65-2.78, 2 Ag 2.70, 4 Re 2.95



(4)
Entry from Alexandria via LeMat-Bulk: Zn2ReAg after structural relaxation (PBE-GGA).

Computed properties:
* crystal system: tetragonal
* total DFT energy (no corrections): -4.207 eV per atom
* offset from the most stable computed form: 12.7 kJ per mole of atoms
* ΔE_f: 0.255 eV per atom

Cell: 4.6279 4.6279 2.8122 Å, 90.00 90.00 90.00°
With the nearest neighbours (Å) after each atom.
Space group P4/mmm (No. 123)
Symmetry-distinct sites (fractional):
Zn (0.0000, 0.5000, 0.0000) [2 per cell]  4 Re 2.71, 4 Ag 2.71, 2 Zn 2.81
Re (0.0000, 0.0000, 0.5000) [1 per cell]  8 Zn 2.71, 2 Re 2.81
Ag (0.5000, 0.5000, 0.5000) [1 per cell]  8 Zn 2.71, 2 Ag 2.81



(5)
Entry from Alexandria via LeMat-Bulk: Zn2ReAg after structural relaxation (PBE-GGA).

Computed properties:
* crystal system: monoclinic
* total DFT energy (no corrections): -4.158 eV per atom
* offset from the most stable computed form: 17.4 kJ per mole of atoms
* ΔE_f: 0.304 eV per atom

Cell: 8.9307 2.6873 5.2213 Å, 90.00 98.73 90.00°
With the nearest neighbours (Å) after each atom.
Space group C2/m (No. 12)
Symmetry-distinct sites (fractional):
Zn (0.2489, 0.0000, 0.2270) [4 per cell]  4 Zn 2.69-2.73, 3 Re 2.69-2.71, 3 Ag 2.81-2.82
Re (0.0000, 0.5000, 0.0000) [2 per cell]  2 Re 2.69, 6 Zn 2.69-2.71, 4 Ag 2.94
Ag (0.0000, 0.0000, 0.5000) [2 per cell]  2 Ag 2.69, 6 Zn 2.81-2.82, 4 Re 2.94



(6)
Entry from Alexandria via LeMat-Bulk: Zn2ReAg after structural relaxation (PBE-GGA).

Computed properties:
* crystal system: orthorhombic
* total DFT energy (no corrections): -4.060 eV per atom
* offset from the most stable computed form: 26.8 kJ per mole of atoms
* ΔE_f: 0.402 eV per atom

Cell: 2.7843 4.9114 9.0779 Å, 90.00 90.00 90.00°
With the nearest neighbours (Å) after each atom.
Space group Immm (No. 71)
Symmetry-distinct sites (fractional):
Zn (0.0000, 0.0000, 0.2501) [4 per cell]  2 Re 2.66, 2 Ag 2.66, 6 Zn 2.78-2.82
Re (0.0000, 0.5000, 0.0000) [2 per cell]  4 Zn 2.66, 2 Re 2.78, 4 Ag 2.82
Ag (0.0000, 0.5000, 0.5000) [2 per cell]  4 Zn 2.66, 2 Ag 2.78, 4 Re 2.82



(7)
Entry from Alexandria via LeMat-Bulk: ZnReAg2 after structural relaxation (PBE-GGA).

Computed properties:
* crystal system: tetragonal
* total DFT energy (no corrections): -4.151 eV per atom
* ΔE_f: 0.705 eV per atom

Cell: 4.2737 4.2737 7.1691 Å, 90.00 90.00 90.00°
With the nearest neighbours (Å) after each atom.
Space group I-4m2 (No. 119)
Symmetry-distinct sites (fractional):
Zn (0.0000, 0.0000, 0.0000) [2 per cell]  4 Re 2.79, 8 Ag 2.79-3.02
Re (0.0000, 0.5000, 0.2500) [2 per cell]  4 Zn 2.79, 8 Ag 2.79-3.02
Ag (0.0000, 0.0000, 0.5000) [2 per cell]  4 Re 2.79, 4 Ag 2.79, 4 Zn 3.02
Ag (0.0000, 0.5000, 0.7500) [2 per cell]  4 Zn 2.79, 4 Ag 2.79, 4 Re 3.02



(8)
Entry from Alexandria via LeMat-Bulk: Zn2ReAg after structural relaxation (PBE-GGA).

Computed properties:
* crystal system: cubic
* total DFT energy (no corrections): -3.826 eV per atom
* offset from the most stable computed form: 49.4 kJ per mole of atoms
* ΔE_f: 0.635 eV per atom

Cell: 6.2956 6.2956 6.2956 Å, 90.00 90.00 90.00°
With the nearest neighbours (Å) after each atom.
Space group F-43m (No. 216)
Symmetry-distinct sites (fractional):
Zn (0.0000, 0.0000, 0.0000) [4 per cell]  4 Zn 2.73, 4 Ag 2.73
Zn (0.2500, 0.2500, 0.2500) [4 per cell]  4 Re 2.73, 4 Zn 2.73
Re (0.0000, 0.0000, 0.5000) [4 per cell]  4 Ag 2.73, 4 Zn 2.73
Ag (0.2500, 0.2500, 0.7500) [4 per cell]  4 Re 2.73, 4 Zn 2.73



(9)
Entry from Alexandria via LeMat-Bulk: Zn2ReAg after structural relaxation (PBE-GGA).

Computed properties:
* crystal system: monoclinic
* total DFT energy (no corrections): -4.172 eV per atom
* offset from the most stable computed form: 16.0 kJ per mole of atoms
* ΔE_f: 0.290 eV per atom

Cell: 2.7192 4.3588 5.2697 Å, 90.00 104.15 90.00°
With the nearest neighbours (Å) after each atom.
Space group Pm (No. 6)
Symmetry-distinct sites (fractional):
Zn (0.0000, 0.0000, 0.0000) [1 per cell]  2 Ag 2.57-2.87, 4 Zn 2.65-2.72, 4 Re 2.72-2.74
Zn (0.1378, 0.5000, 0.2956) [1 per cell]  4 Zn 2.65-2.72, 3 Re 2.68-2.79, 4 Ag 2.75-2.78
Re (0.4098, 0.5000, 0.8199) [1 per cell]  7 Zn 2.68-2.79, 2 Re 2.72
Ag (0.7436, 0.0000, 0.4972) [1 per cell]  6 Zn 2.57-2.87, 2 Ag 2.72



(10)
Entry from Alexandria via LeMat-Bulk: Zn2ReAg after structural relaxation (PBE-GGA).

Computed properties:
* crystal system: tetragonal
* total DFT energy (no corrections): -4.165 eV per atom
* offset from the most stable computed form: 16.7 kJ per mole of atoms
* ΔE_f: 0.297 eV per atom

Cell: 2.6810 2.6810 8.5323 Å, 90.00 90.00 90.00°
With the nearest neighbours (Å) after each atom.
Space group P4mm (No. 99)
Symmetry-distinct sites (fractional):
Zn (0.0000, 0.0000, 0.0000) [1 per cell]  8 Zn 2.68-2.78, 4 Re 2.79
Zn (0.5000, 0.5000, 0.2386) [1 per cell]  8 Zn 2.68-2.78, 4 Ag 2.87
Re (0.5000, 0.5000, 0.7604) [1 per cell]  4 Re 2.68, 4 Zn 2.79, 4 Ag 2.98
Ag (0.0000, 0.0000, 0.4916) [1 per cell]  4 Ag 2.68, 4 Zn 2.87, 4 Re 2.98



(11)
Entry from Alexandria via LeMat-Bulk: Zn2ReAg after structural relaxation (PBE-GGA).

Computed properties:
* crystal system: trigonal
* total DFT energy (no corrections): -4.338 eV per atom
* offset from the most stable computed form: 0.0 kJ per mole of atoms
* ΔE_f: 0.124 eV per atom

Cell: 2.7976 2.7976 27.0338 Å, 90.00 90.00 120.00°
With the nearest neighbours (Å) after each atom.
Space group R-3m (No. 166, hexagonal axes)
Symmetry-distinct sites (fractional):
Zn (0.0000, 0.0000, 0.2483) [6 per cell]  3 Re 2.73, 6 Zn 2.80, 3 Ag 2.81
Re (0.0000, 0.0000, 0.5000) [3 per cell]  6 Zn 2.73, 6 Re 2.80
Ag (0.0000, 0.0000, 0.0000) [3 per cell]  6 Ag 2.80, 6 Zn 2.81



(12)
Entry from Alexandria via LeMat-Bulk: ZnReAg2 after structural relaxation (PBE-GGA).

Computed properties:
* crystal system: trigonal
* total DFT energy (no corrections): -4.573 eV per atom
* ΔE_f: 0.283 eV per atom

Cell: 2.8165 2.8165 27.9987 Å, 90.00 90.00 120.00°
With the nearest neighbours (Å) after each atom.
Space group R3m (No. 160, hexagonal axes)
Symmetry-distinct sites (fractional):
Zn (0.0000, 0.0000, 0.0000) [3 per cell]  3 Re 2.71, 3 Ag 2.81, 6 Zn 2.82
Re (0.0000, 0.0000, 0.2557) [3 per cell]  3 Zn 2.71, 6 Re 2.82, 3 Ag 2.90
Ag (0.0000, 0.0000, 0.5033) [3 per cell]  9 Ag 2.82-2.95, 3 Re 2.90
Ag (0.0000, 0.0000, 0.7485) [3 per cell]  3 Zn 2.81, 9 Ag 2.82-2.95



Look up the ΔE_f of the tenth one. 0.297 eV per atom



The lowest ΔE_f belongs to which entry? number 11



The lowest ΔE_f belongs to which entry? number 11



Please write out number 6 again, unchanged.
Entry from Alexandria via LeMat-Bulk: Zn2ReAg after structural relaxation (PBE-GGA).

Computed properties:
* crystal system: orthorhombic
* total DFT energy (no corrections): -4.060 eV per atom
* offset from the most stable computed form: 26.8 kJ per mole of atoms
* ΔE_f: 0.402 eV per atom

Cell: 2.7843 4.9114 9.0779 Å, 90.00 90.00 90.00°
With the nearest neighbours (Å) after each atom.
Space group Immm (No. 71)
Symmetry-distinct sites (fractional):
Zn (0.0000, 0.0000, 0.2501) [4 per cell]  2 Re 2.66, 2 Ag 2.66, 6 Zn 2.78-2.82
Re (0.0000, 0.5000, 0.0000) [2 per cell]  4 Zn 2.66, 2 Re 2.78, 4 Ag 2.82
Ag (0.0000, 0.5000, 0.5000) [2 per cell]  4 Zn 2.66, 2 Ag 2.78, 4 Re 2.82